Below is a geometry-optimized Fe2CuH structure, with properties calculated at the GGA-PBE level.

Cell: 2.481 2.481 6.253 Å, 90.00 90.00 90.00°
Fractional coordinates of all 4 atoms:
Fe: 0.000 0.000 0.190
Fe: 0.000 0.000 0.810
Cu: 0.500 0.500 0.500
H: 0.500 0.500 0.000

Properties
magnetic moment: 5.02 μB/f.u.
final energy: -5.823 eV per atom
Fermi-level density of states: 2.652 states/eV/f.u.